A relaxed AlV2Si crystal, computed with PBE.

POSCAR file:
```
AlV2Si
1.0
-2.903 2.910 0.997
-3.645 -3.740 0.305
1.025 -0.610 4.767
Al Si V
2 2 4
Cartesian
-4.097 -2.227 3.545 Al
-1.771 0.991 0.924 Al
-0.955 -1.441 1.427 Si
-1.608 -2.943 3.908 Si
-2.739 -3.262 1.545 V
-3.574 -0.866 1.095 V
-2.284 -0.374 3.413 V
0.163 -1.115 3.729 V
```

Summary:
Density of states at the Fermi level = 5.07 states/eV per cell
Polymorph energy (0 for the lowest one) = 25 meV/atom
Space group = Pmc2_1 (26)
Formation energy without anion corrections = -0.2861 eV/atom